(1)
Ba2TeRh (GGA-PBE, optimized geometry); raw formation energy = -0.376 eV/atom; V = 371.44 Å³/cell; mass density = 4.5 g/cm3; space-group type = I-42d; uncorrected energy = -3.9602 eV/atom
1.0
-3.5593 3.5593 7.3301
3.5593 -3.5593 7.3301
3.5593 3.5593 -7.3301
Ba Te Rh
4 2 2
Direct
0.0598 0.6250 0.9348
0.3750 0.3098 0.4348
0.6902 0.1250 0.0652
0.8750 0.9402 0.5652
0.2500 0.7500 0.5000
0.5000 0.5000 0.0000
0.0000 0.0000 0.0000
0.7500 0.2500 0.5000


(2)
BaTe2Rh (GGA-PBE, optimized geometry); raw formation energy = -0.759 eV/atom; V = 126.64 Å³/cell; mass density = 6.5 g/cm3; energy above the most stable polymorph in this dataset = 0.088 eV/atom; space-group type = Cm; uncorrected energy = -4.6481 eV/atom
1.0
5.7252 -2.0559 0.0000
5.7252 2.0559 0.0000
-2.5647 0.0000 5.3794
Ba Te Rh
1 2 1
Direct
0.0000 0.0000 0.0000
0.6421 0.6421 0.6931
0.8107 0.8107 0.3561
0.2360 0.2360 0.5490


(3)
Ba3TeRh (GGA-PBE, optimized geometry); raw formation energy = -0.627 eV/atom; V = 209.23 Å³/cell; mass density = 5.1 g/cm3; energy above the most stable polymorph in this dataset = 0.000 eV/atom; space-group type = Pm-3m; uncorrected energy = -3.8791 eV/atom
1.0
5.9367 0.0000 0.0000
0.0000 5.9367 0.0000
0.0000 0.0000 5.9367
Ba Te Rh
3 1 1
Direct
0.0000 0.0000 0.5000
0.0000 0.5000 0.0000
0.5000 0.0000 0.0000
0.5000 0.5000 0.5000
0.0000 0.0000 0.0000


(4)
BaTeRh2 (GGA-PBE, optimized geometry); raw formation energy = 0.282 eV/atom; V = 94.78 Å³/cell; mass density = 8.2 g/cm3; space-group type = F-43m; uncorrected energy = -4.6602 eV/atom
1.0
0.0000 3.6188 3.6188
3.6188 0.0000 3.6188
3.6188 3.6188 0.0000
Ba Te Rh
1 1 2
Direct
0.0000 0.0000 0.0000
0.2500 0.2500 0.2500
0.5000 0.5000 0.5000
0.7500 0.7500 0.7500


(5)
Ba4Te2Rh (GGA-PBE, optimized geometry); raw formation energy = -0.928 eV/atom; V = 302.21 Å³/cell; mass density = 5.0 g/cm3; space-group type = I4/mmm; uncorrected energy = -3.9741 eV/atom
1.0
-2.8747 2.8747 9.1422
2.8747 -2.8747 9.1422
2.8747 2.8747 -9.1422
Ba Te Rh
4 2 1
Direct
0.0000 0.5000 0.5000
0.1719 0.1719 0.0000
0.5000 0.0000 0.5000
0.8281 0.8281 0.0000
0.3622 0.3622 0.0000
0.6378 0.6378 0.0000
0.0000 0.0000 0.0000


(6)
BaTeRh2 (GGA-PBE, optimized geometry); raw formation energy = -0.478 eV/atom; V = 102.79 Å³/cell; mass density = 7.6 g/cm3; space-group type = R3m; uncorrected energy = -5.4202 eV/atom
1.0
2.2409 1.2938 5.9090
-2.2409 1.2938 5.9090
0.0000 -2.5876 5.9090
Ba Te Rh
1 1 2
Direct
0.0000 0.0000 0.0000
0.1947 0.1947 0.1947
0.4684 0.4684 0.4684
0.7976 0.7976 0.7976


(7)
BaTe2Rh (GGA-PBE, optimized geometry); raw formation energy = -0.407 eV/atom; V = 139.71 Å³/cell; mass density = 5.9 g/cm3; energy above the most stable polymorph in this dataset = 0.440 eV/atom; space-group type = R-3m; uncorrected energy = -4.2963 eV/atom
1.0
2.0666 1.1932 9.4429
-2.0666 1.1932 9.4429
0.0000 -2.3863 9.4429
Ba Te Rh
1 2 1
Direct
0.0000 0.0000 0.0000
0.1213 0.1213 0.1213
0.8787 0.8787 0.8787
0.5000 0.5000 0.5000


(8)
BaTe2Rh (GGA-PBE, optimized geometry); raw formation energy = -0.198 eV/atom; V = 113.15 Å³/cell; mass density = 7.3 g/cm3; energy above the most stable polymorph in this dataset = 0.649 eV/atom; space-group type = I-4m2; uncorrected energy = -4.0875 eV/atom
1.0
-2.3256 2.3256 5.2303
2.3256 -2.3256 5.2303
2.3256 2.3256 -5.2303
Ba Te Rh
1 2 1
Direct
0.0000 0.0000 0.0000
0.5000 0.5000 0.0000
0.7500 0.2500 0.5000
0.2500 0.7500 0.5000


(9)
BaTeRh2 (GGA-PBE, optimized geometry); raw formation energy = -0.374 eV/atom; V = 109.33 Å³/cell; mass density = 7.1 g/cm3; space-group type = Pm; uncorrected energy = -5.3154 eV/atom
1.0
4.9708 0.0000 0.0000
0.0000 4.3386 0.0000
-1.1124 0.0000 5.0696
Ba Te Rh
1 1 2
Direct
0.0000 0.0000 0.0000
0.3655 0.5000 0.6184
0.5695 0.0000 0.4514
0.8477 0.5000 0.4351


(10)
BaTeRh2 (GGA-PBE, optimized geometry); raw formation energy = -0.047 eV/atom; V = 89.96 Å³/cell; mass density = 8.7 g/cm3; space-group type = P2/m; uncorrected energy = -4.9884 eV/atom
1.0
3.5012 0.0000 0.0000
0.0000 3.4806 0.0000
-0.0106 0.0000 7.3818
Ba Te Rh
1 1 2
Direct
0.0000 0.0000 0.0000
0.0000 0.0000 0.5000
0.4992 0.5000 0.3083
0.5008 0.5000 0.6917


(11)
BaTeRh2 (GGA-PBE, optimized geometry); raw formation energy = -0.022 eV/atom; V = 88.30 Å³/cell; mass density = 8.9 g/cm3; space-group type = P4/mmm; uncorrected energy = -4.9634 eV/atom
1.0
4.7773 0.0000 0.0000
0.0000 4.7773 0.0000
0.0000 0.0000 3.8691
Ba Te Rh
1 1 2
Direct
0.0000 0.0000 0.0000
0.5000 0.5000 0.0000
0.0000 0.5000 0.5000
0.5000 0.0000 0.5000


(12)
Ba2TeRh (GGA-PBE, optimized geometry); raw formation energy = -0.734 eV/atom; V = 140.78 Å³/cell; mass density = 6.0 g/cm3; space-group type = Amm2; uncorrected energy = -4.3188 eV/atom
1.0
4.8546 0.0000 0.0000
0.0000 2.3807 6.0906
0.0000 -2.3807 6.0906
Ba Te Rh
2 1 1
Direct
0.0000 0.0000 0.0000
0.5000 0.2750 0.2750
0.0000 0.7024 0.7024
0.5000 0.5971 0.5971